BaFe2Te: optimized geometry, PBE-GGA.

crystal system: tetragonal
size of the total moment: 1.47 μB/atom
final energy: -4.879 eV per atom
space group: No. 119
calculated volume: 24.98 A^3/atom

abc: 5.207 5.207 5.207
angles: 119.93 119.93 90.13
Sites, in units of the cell vectors:
Ba (0.000, 0.000, 0.000)
Fe (0.500, 0.500, 0.000)
Fe (0.750, 0.250, 0.500)
Te (0.250, 0.750, 0.500)

---

Ba2FeTe: optimized geometry, PBE-GGA.

crystal system: tetragonal
size of the total moment: 0.50 μB/atom
final energy: -3.930 eV per atom
space group: No. 122
calculated volume: 40.40 A^3/atom

abc: 7.491 7.491 7.491
angles: 108.29 108.29 111.87
Sites, in units of the cell vectors:
Ba (0.103, 0.625, 0.978)
Ba (0.375, 0.353, 0.478)
Ba (0.647, 0.125, 0.022)
Ba (0.875, 0.897, 0.522)
Fe (0.000, 0.000, 0.000)
Fe (0.750, 0.250, 0.500)
Te (0.250, 0.750, 0.500)
Te (0.500, 0.500, 0.000)

---

Ba2FeTe: optimized geometry, PBE-GGA.

crystal system: monoclinic
size of the total moment: 0.56 μB/atom
final energy: -4.106 eV per atom
space group: No. 12
calculated volume: 40.91 A^3/atom

abc: 4.786 4.786 8.701
angles: 105.89 105.89 59.95
Sites, in units of the cell vectors:
Ba (0.248, 0.248, 0.245)
Ba (0.752, 0.752, 0.755)
Fe (0.500, 0.500, 0.000)
Te (0.000, 0.000, 0.500)